! La3HgPt (meta-GGA SCAN, single point on PBEsol structure); values from VASP
&SYSTEM
  ibrav = 0, nat = 5, ntyp = 3
/
ATOMIC_SPECIES
La 138.91 La.upf
Hg 200.59 Hg.upf
Pt 195.08 Pt.upf
CELL_PARAMETERS angstrom
5.5856 0.0000 0.0000
0.0000 5.5856 0.0000
0.0000 0.0000 5.5856
ATOMIC_POSITIONS crystal
La 0.0000 0.0000 0.5000
La 0.0000 0.5000 0.0000
La 0.5000 0.0000 0.0000
Hg 0.5000 0.5000 0.5000
Pt 0.0000 0.0000 0.0000
! final energy	-54.12	eV per atom
! excess energy over the best structure of this formula in the dataset	0.000	eV/atom
! crystal system	cubic
! symmetry	No. 221
! density of states at the Fermi level	1.73	states/eV per atom